VOs2IO | PBE+U | optimized geometry

Output
As for the energy: -30.24 eV/cell. The symmetry is P4/mmm, No. 123.

Cell and atoms, written as POSCAR:
```
VOs2IO
1.0
4.856 0.000 0.000
0.000 4.856 0.000
0.000 0.000 3.592
V Os I O
1 2 1 1
Direct
0.000 0.000 0.000 V
0.000 0.500 0.000 Os
0.500 0.000 0.000 Os
0.500 0.500 0.500 I
0.000 0.000 0.500 O
```